[1]
Computed, not measured: Pm8Ir3Rh2 after structural relaxation at the PBE level of DFT.

Unit cell a=8.5945 b=4.9238 c=8.6054 alpha=90.00 beta=109.70 gamma=90.00
Closest atoms and distances in Å follow each position.
Space group P2/m (No. 10)
Asymmetric unit:
Pm  0.1215  0.0000  0.3785 (multiplicity 2)  2 Ir 2.99-3.00, 2 Rh 3.05
Pm  0.1273  0.5000  0.8728 (multiplicity 2)  3 Ir 3.01-3.02, 2 Rh 3.05-3.06
Pm  0.3730  0.5000  0.6277 (multiplicity 2)  3 Ir 3.01-3.02, 2 Rh 3.05-3.06
Pm  0.3756  0.0000  0.1241 (multiplicity 2)  4 Ir 3.02-3.04, 2 Rh 3.04
Ir  0.2484  0.0000  0.7482 (multiplicity 2)  8 Pm 2.99-3.04
Ir  0.5000  0.5000  0.0000 (multiplicity 1)  8 Pm 3.02
Rh  0.2491  0.5000  0.2507 (multiplicity 2)  8 Pm 3.04-3.06

Summary:
ΔH_f (0 K)   -579 meV per atom
DFT total energy   -86.8 eV/cell
ρ   9.41 Mg/m³

---

[2]
Computed, not measured: Pm2IrRh3 after structural relaxation at the PBE level of DFT.

Unit cell a=5.4052 b=5.4052 c=8.8302 alpha=90.00 beta=90.00 gamma=120.00
Closest atoms and distances in Å follow each position.
Space group P6_3/mmc (No. 194)
Asymmetric unit:
Pm  0.3333  0.6667  0.0666 (multiplicity 4)  9 Rh 3.15-3.20, 3 Ir 3.18, 4 Pm 3.24-3.34
Ir  0.0000  0.0000  0.0000 (multiplicity 2)  6 Rh 2.71
Rh  0.1678  0.3357  0.7500 (multiplicity 6)  4 Rh 2.68-2.72, 2 Ir 2.71

Summary:
ΔH_f (0 K)   -663 meV per atom
Energy above the most stable polymorph in this dataset   0.0299 eV/atom
DFT total energy   -88.8 eV/cell
ρ   11.76 Mg/m³

---

[3]
Computed, not measured: Pm3IrRh8 after structural relaxation at the PBE level of DFT.

Unit cell a=5.3353 b=5.3353 c=26.2670 alpha=90.00 beta=90.00 gamma=120.00
Closest atoms and distances in Å follow each position.
Space group R3m (No. 160, hexagonal axes)
Asymmetric unit:
Pm  0.0000  0.0000  0.0000 (multiplicity 3)  12 Rh 3.13-3.17, 4 Pm 3.41-3.45
Pm  0.0000  0.0000  0.1312 (multiplicity 3)  12 Rh 2.97-3.19, 3 Ir 3.11
Pm  0.0000  0.0000  0.6112 (multiplicity 3)  9 Rh 2.97-3.21
Ir  0.0000  0.0000  0.4813 (multiplicity 3)  3 Rh 2.69
Rh  0.0000  0.0000  0.3127 (multiplicity 3)  6 Rh 2.71-2.72
Rh  0.0000  0.0000  0.8141 (multiplicity 3)  6 Rh 2.62-2.66
Rh  0.1669  0.3339  0.8946 (multiplicity 9)  6 Rh 2.62-2.71
Rh  0.1676  0.3351  0.3977 (multiplicity 9)  6 Rh 2.65-2.72, 1 Ir 2.69

Summary:
ΔH_f (0 K)   -400 meV per atom
DFT total energy   -260.2 eV/cell
ρ   11.16 Mg/m³

---

[4]
Computed, not measured: Pm6IrRh3 after structural relaxation at the PBE level of DFT.

Unit cell a=11.4658 b=4.1071 c=12.0032 alpha=90.00 beta=108.85 gamma=90.00
Closest atoms and distances in Å follow each position.
Space group P2_1/m (No. 11)
Asymmetric unit:
Pm  0.0315  0.2500  0.3882 (multiplicity 2)  3 Rh 2.82-2.83
Pm  0.1034  0.2500  0.9365 (multiplicity 2)  4 Rh 2.84-2.91
Pm  0.2420  0.7500  0.2827 (multiplicity 2)  3 Rh 2.88-2.97, 2 Ir 3.09
Pm  0.3041  0.7500  0.7638 (multiplicity 2)  3 Rh 2.78-2.91
Pm  0.3915  0.2500  0.5473 (multiplicity 2)  3 Ir 2.92-3.17, 2 Rh 3.02
Pm  0.4223  0.7500  0.1079 (multiplicity 2)  3 Rh 2.79-2.89, 2 Ir 3.09
Ir  0.4502  0.2500  0.3072 (multiplicity 2)  8 Pm 2.92-3.20
Rh  0.0690  0.2500  0.1665 (multiplicity 2)  6 Pm 2.83-2.91
Rh  0.1898  0.7500  0.5096 (multiplicity 2)  6 Pm 2.82-3.02
Rh  0.3493  0.2500  0.9289 (multiplicity 2)  6 Pm 2.78-2.89

Summary:
ΔH_f (0 K)   -591 meV per atom
Energy above the most stable polymorph in this dataset   0.0000 eV/atom
DFT total energy   -130.7 eV/cell
ρ   8.51 Mg/m³